# EuNiI2 (GGA-PBE, relaxed)
# Formation energy from raw total energies (meV per atom): -196.8
# Calculated volume (A^3/atom): 33.68
data_EuNiI2
_cell_length_a 4.0837
_cell_length_b 4.0837
_cell_length_c 27.9815
_cell_angle_alpha 90.00
_cell_angle_beta 90.00
_cell_angle_gamma 120.00
_symmetry_space_group_name_H-M 'R -3 m'
_symmetry_Int_Tables_number 166
_symmetry_space_group_name_Hall '-R 3 2"'
loop_
_atom_site_label
_atom_site_type_symbol
_atom_site_fract_x
_atom_site_fract_y
_atom_site_fract_z
Eu1 Eu 0.0000 0.0000 0.0000
Ni1 Ni 0.0000 0.0000 0.5000
I1 I 0.0000 0.0000 0.1138